# NdLuTh

Crystalline NdLuTh at its relaxed geometry (PBE-GGA, Alexandria).

Values from the calculation:
Crystal system ... trigonal
Calculated total energy ... -5.531 eV per atom
Magnetization ... 0.001 Bohr magnetons per cell
DOS(E_F) ... 4.8 states/eV per cell
Calculated density ... 9.4 Mg/m³

Cell: 3.579 3.579 8.737 Å, 90.00 90.00 120.00°
Positions (direct):
Nd (0.000, 0.000, 0.000)
Lu (0.667, 0.333, 0.346)
Th (0.333, 0.667, 0.664)